No. 1
Density functional theory data (GGA-PBE) for crystalline Na3Ce3PuS8 at its relaxed geometry.

Computed properties:
- density (Mg/m³) = 4.21

CIF file:
```
data_Na3Ce3PuS8
_cell_length_a 14.101
_cell_length_b 8.238
_cell_length_c 8.167
_cell_angle_alpha 90.00
_cell_angle_beta 124.66
_cell_angle_gamma 90.00
_symmetry_space_group_name_H-M 'C 1 2/m 1'
_symmetry_Int_Tables_number 12
loop_
_symmetry_equiv_pos_as_xyz
'x,y,z'
'-x,-y,-z'
'-x,y,-z'
'x,-y,z'
'x+1/2,y+1/2,z'
'-x+1/2,-y+1/2,-z'
'-x+1/2,y+1/2,-z'
'x+1/2,-y+1/2,z'
loop_
_atom_site_label
_atom_site_fract_x
_atom_site_fract_y
_atom_site_fract_z
Na1 0.000 0.000 0.000
Na2 0.250 0.250 0.500
Ce1 0.000 0.500 0.500
Ce2 0.250 0.250 0.000
Pu1 0.000 0.000 0.500
S1 0.008 0.246 0.736
S2 0.238 0.000 0.755
S3 0.244 0.500 0.756
```


No. 2
Density functional theory data (GGA-PBE) for crystalline Na3CePu2S6 at its relaxed geometry.

Computed properties:
- density (Mg/m³) = 5.18

CIF file:
```
data_Na3CePu2S6
_cell_length_a 7.053
_cell_length_b 12.217
_cell_length_c 7.028
_cell_angle_alpha 90.00
_cell_angle_beta 109.54
_cell_angle_gamma 90.00
_symmetry_space_group_name_H-M 'C 1 2/m 1'
_symmetry_Int_Tables_number 12
loop_
_symmetry_equiv_pos_as_xyz
'x,y,z'
'-x,-y,-z'
'-x,y,-z'
'x,-y,z'
'x+1/2,y+1/2,z'
'-x+1/2,-y+1/2,-z'
'-x+1/2,y+1/2,-z'
'x+1/2,-y+1/2,z'
loop_
_atom_site_label
_atom_site_fract_x
_atom_site_fract_y
_atom_site_fract_z
Na1 0.000 0.000 0.000
Na2 0.000 0.333 0.000
Ce1 0.000 0.500 0.500
Pu1 0.000 0.167 0.500
S1 0.240 0.000 0.728
S2 0.244 0.332 0.728
```


No. 3
Density functional theory data (GGA-PBE) for crystalline NaCePu2S4 at its relaxed geometry.

Computed properties:
- density (Mg/m³) = 7.08

CIF file:
```
data_NaCePu2S4
_cell_length_a 6.938
_cell_length_b 4.010
_cell_length_c 6.964
_cell_angle_alpha 90.00
_cell_angle_beta 109.30
_cell_angle_gamma 90.00
_symmetry_space_group_name_H-M 'P 1 2/m 1'
_symmetry_Int_Tables_number 10
loop_
_symmetry_equiv_pos_as_xyz
'x,y,z'
'-x,-y,-z'
'-x,y,-z'
'x,-y,z'
loop_
_atom_site_label
_atom_site_fract_x
_atom_site_fract_y
_atom_site_fract_z
Na1 0.000 0.000 0.000
Ce1 0.500 0.500 0.000
Pu1 0.000 0.500 0.500
Pu2 0.500 0.000 0.500
S1 0.248 0.000 0.742
S2 0.257 0.500 0.260
```


No. 4
Density functional theory data (GGA-PBE) for crystalline NaCe2PuS4 at its relaxed geometry.

Computed properties:
- density (Mg/m³) = 6.07

CIF file:
```
data_NaCe2PuS4
_cell_length_a 6.944
_cell_length_b 4.030
_cell_length_c 7.014
_cell_angle_alpha 90.00
_cell_angle_beta 109.71
_cell_angle_gamma 90.00
_symmetry_space_group_name_H-M 'P 1 2/m 1'
_symmetry_Int_Tables_number 10
loop_
_symmetry_equiv_pos_as_xyz
'x,y,z'
'-x,-y,-z'
'-x,y,-z'
'x,-y,z'
loop_
_atom_site_label
_atom_site_fract_x
_atom_site_fract_y
_atom_site_fract_z
Na1 0.000 0.000 0.000
Ce1 0.500 0.000 0.500
Ce2 0.500 0.500 0.000
Pu1 0.000 0.500 0.500
S1 0.245 0.000 0.746
S2 0.251 0.500 0.254
```


No. 5
Density functional theory data (GGA-PBE) for crystalline NaCe2PuSe4 at its relaxed geometry.

Computed properties:
- density (Mg/m³) = 6.79

CIF file:
```
data_NaCe2PuSe4
_cell_length_a 7.261
_cell_length_b 4.210
_cell_length_c 7.334
_cell_angle_alpha 90.00
_cell_angle_beta 109.61
_cell_angle_gamma 90.00
_symmetry_space_group_name_H-M 'P 1 2/m 1'
_symmetry_Int_Tables_number 10
loop_
_symmetry_equiv_pos_as_xyz
'x,y,z'
'-x,-y,-z'
'-x,y,-z'
'x,-y,z'
loop_
_atom_site_label
_atom_site_fract_x
_atom_site_fract_y
_atom_site_fract_z
Na1 0.000 0.000 0.000
Ce1 0.500 0.000 0.500
Ce2 0.500 0.500 0.000
Pu1 0.000 0.500 0.500
Se1 0.246 0.000 0.747
Se2 0.250 0.500 0.252
```


No. 6
Density functional theory data (GGA-PBE) for crystalline NaCe2Pu3Se6 at its relaxed geometry.

Computed properties:
- density (Mg/m³) = 5.37

CIF file:
```
data_NaCe2Pu3Se6
_cell_length_a 16.558
_cell_length_b 3.861
_cell_length_c 15.178
_cell_angle_alpha 90.00
_cell_angle_beta 105.98
_cell_angle_gamma 90.00
_symmetry_space_group_name_H-M 'C 1 2/m 1'
_symmetry_Int_Tables_number 12
loop_
_symmetry_equiv_pos_as_xyz
'x,y,z'
'-x,-y,-z'
'-x,y,-z'
'x,-y,z'
'x+1/2,y+1/2,z'
'-x+1/2,-y+1/2,-z'
'-x+1/2,y+1/2,-z'
'x+1/2,-y+1/2,z'
loop_
_atom_site_label
_atom_site_fract_x
_atom_site_fract_y
_atom_site_fract_z
Na1 0.000 0.000 0.000
Ce1 0.001 0.000 0.278
Pu1 0.000 0.000 0.500
Pu2 0.200 0.000 0.564
Se1 0.005 0.500 0.144
Se2 0.111 0.500 0.653
Se3 0.118 0.500 0.414
```


Number 1: E -6.34 eV per atom, uncorrected formation energy -1.73 eV/atom, total moment 14.02 μB per cell. Number 2: E -6.90 eV per atom, uncorrected formation energy -1.62 eV/atom, total moment 22.00 μB per cell. Number 3: E -8.29 eV per atom, uncorrected formation energy -1.74 eV/atom, total moment 12.48 μB per cell. Number 4: E -7.30 eV per atom, uncorrected formation energy -1.80 eV/atom, total moment 7.83 μB per cell. Number 5: E -6.81 eV per atom, uncorrected formation energy -1.63 eV/atom, total moment 8.21 μB per cell. Number 6: E -7.65 eV per atom, uncorrected formation energy -1.22 eV/atom, total moment 9.00 μB per cell.